(1)
Density functional theory data (PBE-GGA) for AcPrAsBr after structural relaxation.

- calculated volume (Å³ per cell) = 110
- uncorrected formation energy (eV/f.u.) = -4.88

Cell and atoms, written as extended XYZ:
```
4
Lattice="0.000 3.805 3.805 3.805 0.000 3.805 3.805 3.805 0.000" Properties=species:S:1:pos:R:3 pbc="T T T"
Ac 0.000 0.000 0.000
Pr 3.805 3.805 3.805
As 1.903 1.903 1.903
Br 5.708 5.708 5.708
```

***

(2)
Density functional theory data (PBE-GGA) for Ac6AsPt2Br3 after structural relaxation.

- calculated volume (Å³ per cell) = 421
- uncorrected formation energy (eV/f.u.) = -15.87

Cell and atoms, written as extended XYZ:
```
12
Lattice="3.932 -6.800 0.000 3.932 6.800 0.000 -2.621 0.000 7.873" Properties=species:S:1:pos:R:3 pbc="T T T"
Ac -0.062 2.364 6.260
Ac 1.204 0.000 1.601
Ac -0.062 -2.364 6.260
Ac 5.306 2.364 1.613
Ac 4.040 0.000 6.272
Ac 5.306 -2.364 1.613
As 3.932 0.000 0.000
Pt 3.932 4.525 0.000
Pt 3.932 -4.525 0.000
Br -1.310 0.000 3.937
Br 2.622 2.121 3.937
Br 2.622 -2.121 3.937
```

***

(3)
Density functional theory data (PBE-GGA) for AcPuAsBr after structural relaxation.

- calculated volume (Å³ per cell) = 108
- uncorrected formation energy (eV/f.u.) = -4.07

Cell and atoms, written as extended XYZ:
```
4
Lattice="0.000 3.782 3.782 3.782 0.000 3.782 3.782 3.782 0.000" Properties=species:S:1:pos:R:3 pbc="T T T"
Ac 0.000 0.000 0.000
Pu 3.782 3.782 3.782
As 1.891 1.891 1.891
Br 5.674 5.674 5.674
```

***

(4)
Density functional theory data (PBE-GGA) for Ac6AsRh2Br3 after structural relaxation.

- calculated volume (Å³ per cell) = 420
- uncorrected formation energy (eV/f.u.) = -14.38

Cell and atoms, written as extended XYZ:
```
12
Lattice="3.857 -6.678 0.000 3.857 6.678 0.000 -2.547 0.000 8.153" Properties=species:S:1:pos:R:3 pbc="T T T"
Ac -0.043 2.336 6.536
Ac 1.160 0.000 1.618
Ac -0.043 -2.336 6.536
Ac 5.211 2.336 1.618
Ac 4.008 0.000 6.535
Ac 5.211 -2.336 1.618
As 3.857 0.000 0.000
Rh 3.857 4.449 0.000
Rh 3.857 -4.449 0.000
Br -1.273 0.000 4.077
Br 2.584 2.185 4.077
Br 2.584 -2.185 4.077
```

***

(5)
Density functional theory data (PBE-GGA) for Ac6AsRh2Br2 after structural relaxation.

- calculated volume (Å³ per cell) = 401
- uncorrected formation energy (eV/f.u.) = -11.09

Cell and atoms, written as extended XYZ:
```
11
Lattice="3.957 -6.620 0.000 3.957 6.620 0.000 -2.427 0.000 7.653" Properties=species:S:1:pos:R:3 pbc="T T T"
Ac 0.120 2.271 6.043
Ac 1.134 0.000 1.606
Ac 0.120 -2.271 6.043
Ac 5.367 2.271 1.610
Ac 4.352 0.000 6.048
Ac 5.367 -2.271 1.610
As 3.957 0.000 0.000
Rh 3.957 4.369 0.000
Rh 3.957 -4.369 0.000
Br 2.743 2.094 3.827
Br 2.743 -2.094 3.827
```

***

(6)
Density functional theory data (PBE-GGA) for Ac8AsRh3Br4 after structural relaxation.

- calculated volume (Å³ per cell) = 557
- uncorrected formation energy (eV/f.u.) = -18.72

Cell and atoms, written as extended XYZ:
```
16
Lattice="7.685 -4.437 0.000 7.685 4.437 0.000 -5.131 0.000 8.165" Properties=species:S:1:pos:R:3 pbc="T T T"
Ac 3.782 2.319 5.691
Ac -0.003 0.000 5.681
Ac 2.442 0.000 2.474
Ac 6.458 2.319 2.474
Ac 3.782 -2.319 5.691
Ac 7.799 0.000 5.691
Ac 10.243 0.000 2.484
Ac 6.458 -2.319 2.474
As 5.120 0.000 4.082
Rh -2.565 0.000 4.082
Rh 1.277 2.218 4.082
Rh 1.277 -2.218 4.082
Br 0.000 0.000 0.000
Br 3.843 2.218 0.000
Br 3.843 -2.218 0.000
Br 7.685 0.000 0.000
```

***

(7)
Density functional theory data (PBE-GGA) for Ac8AsRh3Br3 after structural relaxation.

- calculated volume (Å³ per cell) = 539
- uncorrected formation energy (eV/f.u.) = -15.47

Cell and atoms, written as extended XYZ:
```
15
Lattice="4.462 2.576 7.816 -4.462 2.576 7.816 0.000 -5.152 7.816" Properties=species:S:1:pos:R:3 pbc="T T T"
Ac -2.352 -1.358 13.343
Ac 0.000 0.000 5.490
Ac 0.000 -2.716 10.106
Ac -2.352 1.358 10.106
Ac 2.352 -1.358 13.343
Ac 0.000 2.716 13.343
Ac 0.000 0.000 17.959
Ac 2.352 1.358 10.106
As 0.000 0.000 11.724
Rh -4.462 0.000 11.724
Rh -2.231 1.288 3.908
Rh 2.231 1.288 3.908
Br -2.231 -1.288 7.816
Br -2.231 1.288 15.633
Br 0.000 2.576 7.816
```

***

(8)
Density functional theory data (PBE-GGA) for Ac4AsRhBr2 after structural relaxation.

- calculated volume (Å³ per cell) = 276
- uncorrected formation energy (eV/f.u.) = -9.82

Cell and atoms, written as extended XYZ:
```
8
Lattice="8.105 0.000 0.000 0.000 4.321 0.000 -2.359 0.000 7.873" Properties=species:S:1:pos:R:3 pbc="T T T"
Ac 1.264 0.000 1.560
Ac 0.193 2.161 6.207
Ac 5.553 2.161 1.667
Ac 4.482 0.000 6.313
As 4.053 0.000 0.000
Rh 0.000 2.161 0.000
Br -1.179 0.000 3.937
Br 2.873 2.161 3.937
```

***

- The lowest calculated volume belongs to which entry?
  AcPuAsBr

***

What did the second record say?
Density functional theory data (PBE-GGA) for Ac6AsPt2Br3 after structural relaxation.

- calculated volume (Å³ per cell) = 421
- uncorrected formation energy (eV/f.u.) = -15.87

Cell and atoms, written as extended XYZ:
```
12
Lattice="3.932 -6.800 0.000 3.932 6.800 0.000 -2.621 0.000 7.873" Properties=species:S:1:pos:R:3 pbc="T T T"
Ac -0.062 2.364 6.260
Ac 1.204 0.000 1.601
Ac -0.062 -2.364 6.260
Ac 5.306 2.364 1.613
Ac 4.040 0.000 6.272
Ac 5.306 -2.364 1.613
As 3.932 0.000 0.000
Pt 3.932 4.525 0.000
Pt 3.932 -4.525 0.000
Br -1.310 0.000 3.937
Br 2.622 2.121 3.937
Br 2.622 -2.121 3.937
```